A plane-wave DFT calculation with PBE-GGA was carried out for a geometry-optimized SrCoWAu structure.

Results
The space group is F-43m, No. 216. The calculation puts the total magnetization at 3.6 μB/cell. Its energy above the lowest structure with this stoichiometry is 0.0 meV per atom. The energy comes out at -5.3892 eV per atom.

```
SrCoWAu
1.0
6.7614 0.0000 0.0000
0.0000 6.7614 0.0000
0.0000 0.0000 6.7614
Sr Co W Au
4 4 4 4
Direct
0.0000 0.0000 0.0000
0.0000 0.5000 0.5000
0.5000 0.0000 0.5000
0.5000 0.5000 0.0000
0.2500 0.2500 0.2500
0.2500 0.7500 0.7500
0.7500 0.2500 0.7500
0.7500 0.7500 0.2500
0.0000 0.0000 0.5000
0.0000 0.5000 0.0000
0.5000 0.0000 0.0000
0.5000 0.5000 0.5000
0.2500 0.2500 0.7500
0.2500 0.7500 0.2500
0.7500 0.2500 0.2500
0.7500 0.7500 0.7500
```

---

A plane-wave DFT calculation with PBE-GGA was carried out for a geometry-optimized SrMgNiGe structure.

Results
The space group is F-43m, No. 216. The calculation puts the total magnetization at 0.4 μB/cell. Its energy above the lowest structure with this stoichiometry is 0.0 meV per atom. The energy comes out at -3.3855 eV per atom.

```
SrMgNiGe
1.0
6.9860 0.0000 0.0000
0.0000 6.9860 0.0000
0.0000 0.0000 6.9860
Sr Mg Ni Ge
4 4 4 4
Direct
0.0000 0.0000 0.0000
0.0000 0.5000 0.5000
0.5000 0.0000 0.5000
0.5000 0.5000 0.0000
0.0000 0.0000 0.5000
0.0000 0.5000 0.0000
0.5000 0.0000 0.0000
0.5000 0.5000 0.5000
0.2500 0.2500 0.7500
0.2500 0.7500 0.2500
0.7500 0.2500 0.2500
0.7500 0.7500 0.7500
0.2500 0.2500 0.2500
0.2500 0.7500 0.7500
0.7500 0.2500 0.7500
0.7500 0.7500 0.2500
```

---

A plane-wave DFT calculation with PBE-GGA was carried out for a geometry-optimized HfAl2Ge structure.

Results
The space group is F-43m, No. 216. The calculation puts the total magnetization at 0.1 μB/cell. The energy comes out at -5.4065 eV per atom.

```
HfAl2Ge
1.0
6.6439 0.0000 0.0000
0.0000 6.6439 0.0000
0.0000 0.0000 6.6439
Hf Al Ge
4 8 4
Direct
0.0000 0.0000 0.0000
0.0000 0.5000 0.5000
0.5000 0.0000 0.5000
0.5000 0.5000 0.0000
0.0000 0.0000 0.5000
0.0000 0.5000 0.0000
0.2500 0.2500 0.2500
0.2500 0.7500 0.7500
0.5000 0.0000 0.0000
0.5000 0.5000 0.5000
0.7500 0.2500 0.7500
0.7500 0.7500 0.2500
0.2500 0.2500 0.7500
0.2500 0.7500 0.2500
0.7500 0.2500 0.2500
0.7500 0.7500 0.7500
```

---

A plane-wave DFT calculation with PBE-GGA was carried out for a geometry-optimized Na4Cd2SnGe structure.

Results
The space group is P-4m2, No. 115. Its energy above the lowest structure with this stoichiometry is 35.9 meV per atom. The energy comes out at -2.1067 eV per atom.

```
Na4Cd2SnGe
1.0
5.0782 0.0000 0.0000
0.0000 5.0782 0.0000
0.0000 0.0000 7.1972
Na Cd Sn Ge
4 2 1 1
Direct
0.0000 0.0000 0.0000
0.0000 0.5000 0.7389
0.5000 0.0000 0.2611
0.5000 0.5000 0.5000
0.0000 0.5000 0.2577
0.5000 0.0000 0.7423
0.5000 0.5000 0.0000
0.0000 0.0000 0.5000
```

---

A plane-wave DFT calculation with PBE-GGA was carried out for a geometry-optimized Ho structure.

Results
The space group is Pm-3n, No. 223. The calculation puts the total magnetization at 6.8 μB/cell. Its energy above the lowest structure with this stoichiometry is 262.0 meV per atom. The energy comes out at -4.3148 eV per atom.

```
Ho
1.0
6.3676 0.0000 0.0000
0.0000 6.3676 0.0000
0.0000 0.0000 6.3676
Ho
8
Direct
0.0000 0.0000 0.0000
0.0000 0.2500 0.5000
0.0000 0.7500 0.5000
0.2500 0.5000 0.0000
0.5000 0.0000 0.2500
0.5000 0.0000 0.7500
0.5000 0.5000 0.5000
0.7500 0.5000 0.0000
```

---

A plane-wave DFT calculation with PBE-GGA was carried out for a geometry-optimized TmZn3Re4O12 structure.

Results
The space group is Im-3, No. 204. The calculation puts the total magnetization at 7.1 μB/cell. The energy comes out at -7.2027 eV per atom.

```
TmZn3Re4O12
1.0
-3.7979 3.7979 3.7979
3.7979 -3.7979 3.7979
3.7979 3.7979 -3.7979
Tm Zn Re O
1 3 4 12
Direct
0.0000 0.0000 0.0000
0.0000 0.5000 0.5000
0.5000 0.0000 0.5000
0.5000 0.5000 0.0000
0.0000 0.0000 0.5000
0.0000 0.5000 0.0000
0.5000 0.0000 0.0000
0.5000 0.5000 0.5000
0.1241 0.2983 0.8258
0.1742 0.4725 0.2983
0.1742 0.8759 0.7017
0.2983 0.1742 0.4725
0.2983 0.8258 0.1241
0.4725 0.2983 0.1742
0.5275 0.7017 0.8258
0.7017 0.1742 0.8759
0.7017 0.8258 0.5275
0.8258 0.1241 0.2983
0.8258 0.5275 0.7017
0.8759 0.7017 0.1742
```

---

A plane-wave DFT calculation with PBE-GGA was carried out for a geometry-optimized Hf4CdGeC2 structure.

Results
The space group is P-6m2, No. 187. The calculation puts the total magnetization at 0.0 μB/cell. The energy comes out at -8.6743 eV per atom.

```
Hf4CdGeC2
1.0
3.2959 0.0000 0.0000
-1.6480 2.8544 0.0000
0.0000 0.0000 14.3288
Hf Cd Ge C
4 1 1 2
Direct
0.0000 0.0000 0.1513
0.0000 0.0000 0.8487
0.6667 0.3333 0.3245
0.6667 0.3333 0.6755
0.0000 0.0000 0.5000
0.6667 0.3333 0.0000
0.3333 0.6667 0.2387
0.3333 0.6667 0.7613
```

---

A plane-wave DFT calculation with PBE-GGA was carried out for a geometry-optimized AcFeSi structure.

Results
The space group is F-43m, No. 216. The calculation puts the total magnetization at 12.0 μB/cell. Its energy above the lowest structure with this stoichiometry is 730.4 meV per atom. The energy comes out at -5.6967 eV per atom.

```
AcFeSi
1.0
6.7978 0.0000 0.0000
0.0000 6.7978 0.0000
0.0000 0.0000 6.7978
Ac Fe Si
4 4 4
Direct
0.0000 0.0000 0.0000
0.0000 0.5000 0.5000
0.5000 0.0000 0.5000
0.5000 0.5000 0.0000
0.0000 0.0000 0.5000
0.0000 0.5000 0.0000
0.5000 0.0000 0.0000
0.5000 0.5000 0.5000
0.2500 0.2500 0.2500
0.2500 0.7500 0.7500
0.7500 0.2500 0.7500
0.7500 0.7500 0.2500
```